# 1
{
  "formula": "PmNdNO",
  "functional": "GGA-PBE",
  "state": "relaxed",
  "cell": [[3.9633, 0.0000, 0.0000], [0.0000, 5.8927, 0.0000], [0.0000, 0.0000, 6.8556]],
  "species": ["N", "N", "Nd", "Nd", "O", "O", "Pm", "Pm"],
  "fractional_positions": [[0.0000, 0.8935, 0.3336], [0.0000, 0.3935, 0.6664], [0.0000, 0.4887, 0.3334], [0.0000, 0.9887, 0.6666], [0.5000, 0.3824, 0.1676], [0.5000, 0.8824, 0.8324], [0.5000, 0.9893, 0.1656], [0.5000, 0.4893, 0.8344]],
  "energy_ev_per_fu": -30.50,
  "space_group": "Pmc2_1"
}

# 2
{
  "formula": "BaPmW",
  "functional": "GGA-PBE",
  "state": "relaxed",
  "cell": [[-2.3843, 1.2695, 4.4866], [-5.0483, 1.3930, -0.0205], [-3.6074, -3.1989, 2.0445]],
  "species": ["Ba", "Pm", "W"],
  "fractional_positions": [[0.2500, 0.2500, 0.2500], [0.0000, 0.0000, 0.0000], [0.7500, 0.7500, 0.7500]],
  "energy_ev_per_fu": -14.47,
  "space_group": "F-43m"
}

# 3
{
  "formula": "PmNpCu",
  "functional": "GGA-PBE",
  "state": "relaxed",
  "cell": [[0.0000, 3.4033, 3.4033], [3.4033, 0.0000, 3.4033], [3.4033, 3.4033, 0.0000]],
  "species": ["Cu", "Np", "Pm"],
  "fractional_positions": [[0.0000, 0.0000, 0.0000], [0.2500, 0.2500, 0.2500], [0.7500, 0.7500, 0.7500]],
  "formation_enthalpy_0k_mev_per_atom": 547.3,
  "energy_ev_per_fu": -19.59,
  "space_group": "F-43m"
}

# 4
{
  "formula": "NdTc2O8",
  "functional": "GGA-PBE",
  "state": "relaxed",
  "cell": [[3.9001, -0.3322, 5.5583], [-5.2716, 1.9614, 3.8183], [-0.5800, -5.4106, -4.0749]],
  "species": ["Nd", "O", "O", "O", "O", "O", "O", "O", "O", "Tc", "Tc"],
  "fractional_positions": [[0.5000, 0.5000, 0.0000], [0.6450, 0.3551, 0.2899], [0.9348, 0.6449, 0.2899], [0.3551, 0.6450, 0.2899], [0.6449, 0.9348, 0.2899], [0.3551, 0.0652, 0.7101], [0.6449, 0.3550, 0.7101], [0.0652, 0.3551, 0.7101], [0.3550, 0.6449, 0.7101], [0.7500, 0.2500, 0.5000], [0.2500, 0.7500, 0.5000]],
  "energy_ev_per_fu": -85.79,
  "space_group": "Fm-3m"
}

# 5
{
  "formula": "BeFeSiIr",
  "functional": "GGA-PBE",
  "state": "relaxed",
  "cell": [[0.1393, -1.1233, 3.8824], [-1.1036, 2.5967, 2.8971], [-3.4305, -0.6019, 2.0551]],
  "species": ["Be", "Fe", "Ir", "Si"],
  "fractional_positions": [[0.2500, 0.2500, 0.2500], [0.7500, 0.7500, 0.7500], [0.5000, 0.5000, 0.5000], [0.0000, 0.0000, 0.0000]],
  "energy_ev_per_fu": -26.65,
  "space_group": "F-43m"
}

# 6
{
  "formula": "HfGaCoHg",
  "functional": "GGA-PBE",
  "state": "relaxed",
  "cell": [[1.6559, 3.4416, 2.4982], [-2.7880, 2.4195, 2.6833], [0.2818, -0.4031, 4.5371]],
  "species": ["Co", "Ga", "Hf", "Hg"],
  "fractional_positions": [[0.7500, 0.7500, 0.7500], [0.0000, 0.0000, 0.0000], [0.2500, 0.2500, 0.2500], [0.5000, 0.5000, 0.5000]],
  "energy_ev_per_fu": -20.20,
  "space_group": "F-43m"
}

# 7
{
  "formula": "NaErCoS3",
  "functional": "GGA-PBE",
  "state": "relaxed",
  "cell": [[7.9091, 0.0000, 0.0000], [0.0000, 3.8030, 0.0000], [-1.9941, 0.0000, 8.6499]],
  "species": ["Co", "Co", "Er", "Er", "Na", "Na", "S", "S", "S", "S", "S", "S"],
  "fractional_positions": [[0.4193, 0.2500, 0.4151], [0.5807, 0.7500, 0.5849], [0.1711, 0.7500, 0.1486], [0.8289, 0.2500, 0.8514], [0.6875, 0.7500, 0.2136], [0.3125, 0.2500, 0.7864], [0.4097, 0.2500, 0.1548], [0.9328, 0.2500, 0.1619], [0.3056, 0.7500, 0.4712], [0.6944, 0.2500, 0.5288], [0.0672, 0.7500, 0.8381], [0.5903, 0.7500, 0.8453]],
  "energy_ev_per_fu": -32.88,
  "space_group": "P2_1/m"
}

# 8
{
  "formula": "ZrCuAgSn",
  "functional": "GGA-PBE",
  "state": "relaxed",
  "cell": [[-1.9436, -3.8583, 1.9678], [-4.3326, 0.2438, 1.9249], [-3.6623, -2.1550, -2.1164]],
  "species": ["Ag", "Cu", "Sn", "Zr"],
  "fractional_positions": [[0.5000, 0.5000, 0.5000], [0.7500, 0.7500, 0.7500], [0.0000, 0.0000, 0.0000], [0.2500, 0.2500, 0.2500]],
  "energy_ev_per_fu": -19.25,
  "space_group": "F-43m"
}

# 9
{
  "formula": "YAg2",
  "functional": "GGA-PBE",
  "state": "relaxed",
  "cell": [[3.7239, 0.0000, 0.0000], [0.0000, 3.7239, 0.0000], [0.0000, 0.0000, 9.2481]],
  "species": ["Ag", "Ag", "Ag", "Ag", "Y", "Y"],
  "fractional_positions": [[0.0000, 0.0000, 0.1702], [0.5000, 0.5000, 0.3299], [0.5000, 0.5000, 0.6696], [0.0000, 0.0000, 0.8304], [0.5000, 0.5000, 0.0002], [0.0000, 0.0000, 0.4997]],
  "formation_enthalpy_0k_mev_per_atom": -333.8,
  "energy_ev_per_fu": -13.12,
  "space_group": "I4/mmm"
}

# 10
{
  "formula": "KNiBiS3",
  "functional": "GGA-PBE",
  "state": "relaxed",
  "cell": [[1.3678, 3.6870, -6.0580], [-2.7553, -5.9417, 3.0443], [-9.6857, 4.8985, 0.7944]],
  "species": ["Bi", "Bi", "K", "K", "Ni", "Ni", "S", "S", "S", "S", "S", "S"],
  "fractional_positions": [[0.0000, 0.0000, 0.0000], [0.0000, 0.0000, 0.5000], [0.2547, 0.7453, 0.2500], [0.7453, 0.2547, 0.7500], [0.5274, 0.4726, 0.2500], [0.4726, 0.5274, 0.7500], [0.6262, 0.3738, 0.0809], [0.9449, 0.0551, 0.2500], [0.6262, 0.3738, 0.4191], [0.3738, 0.6262, 0.5809], [0.0551, 0.9449, 0.7500], [0.3738, 0.6262, 0.9191]],
  "energy_ev_per_fu": -26.11,
  "space_group": "Cmcm"
}

# 11
{
  "formula": "CsLuMo",
  "functional": "GGA-PBE",
  "state": "relaxed",
  "cell": [[0.0000, 3.5786, 3.5786], [3.5786, 0.0000, 3.5786], [3.5786, 3.5786, 0.0000]],
  "species": ["Cs", "Lu", "Mo"],
  "fractional_positions": [[0.0000, 0.0000, 0.0000], [0.2500, 0.2500, 0.2500], [0.7500, 0.7500, 0.7500]],
  "energy_ev_per_fu": -9.48,
  "space_group": "F-43m"
}

# 12
{
  "formula": "LaAuNO",
  "functional": "GGA-PBE",
  "state": "relaxed",
  "cell": [[-2.9319, -0.2768, 2.5207], [2.3023, -4.7099, 2.1607], [3.3253, 3.5802, 4.2610]],
  "species": ["Au", "Au", "La", "La", "N", "N", "O", "O"],
  "fractional_positions": [[0.5000, 0.9527, 0.3376], [0.5000, 0.4527, 0.6624], [0.0000, 0.4693, 0.2365], [0.0000, 0.9693, 0.7635], [0.0000, 0.9560, 0.3366], [0.0000, 0.4560, 0.6634], [0.5000, 0.3760, 0.1009], [0.5000, 0.8760, 0.8991]],
  "energy_ev_per_fu": -25.39,
  "space_group": "Pmc2_1"
}